<i>
# PrEr2Tc | the Alexandria database | PBE | optimized geometry
data_PrEr2Tc
_cell_length_a 7.5257
_cell_length_b 9.1152
_cell_length_c 6.3610
_cell_angle_alpha 90.00
_cell_angle_beta 90.00
_cell_angle_gamma 90.00
_symmetry_space_group_name_H-M 'P n m a'
_symmetry_Int_Tables_number 62
loop_
_symmetry_equiv_pos_as_xyz
'x,y,z'
'-x,-y,-z'
'-x+1/2,-y,z+1/2'
'x+1/2,y,-z+1/2'
'x+1/2,-y+1/2,-z+1/2'
'-x+1/2,y+1/2,z+1/2'
'-x,y+1/2,-z'
'x,-y+1/2,z'
loop_
_atom_site_label
_atom_site_type_symbol
_atom_site_fract_x
_atom_site_fract_y
_atom_site_fract_z
_atom_site_occupancy
Pr1 Pr 0.0421 0.2500 0.1242 1
Er1 Er 0.1746 0.0646 0.6564 1
Tc1 Tc 0.1166 0.7500 0.4513 1
# Volume in Å³/cell: 436.4
# Theoretical density in Mg/m³: 8.73
# Total magnetization in Bohr magnetons per cell: 0.000

---

<ii>
# PrEr2Tc | the Alexandria database | PBE | optimized geometry
data_PrEr2Tc
_cell_length_a 3.4407
_cell_length_b 3.4407
_cell_length_c 9.1449
_cell_angle_alpha 90.00
_cell_angle_beta 90.00
_cell_angle_gamma 90.00
_symmetry_space_group_name_H-M 'P 4/m m m'
_symmetry_Int_Tables_number 123
_symmetry_space_group_name_Hall '-P 4 2'
loop_
_atom_site_label
_atom_site_type_symbol
_atom_site_fract_x
_atom_site_fract_y
_atom_site_fract_z
_atom_site_occupancy
Pr1 Pr 0.0000 0.0000 0.0000 1
Er1 Er 0.5000 0.5000 0.3214 1
Tc1 Tc 0.0000 0.0000 0.5000 1
# Volume in Å³/cell: 108.3
# Theoretical density in Mg/m³: 8.80
# Total magnetization in Bohr magnetons per cell: 0.000

---

On energetic grounds, <i> is preferred over the next structure by 0.051 eV/atom.

---

<i>
# PrEr3Tc | the Alexandria database | PBE | optimized geometry
data_PrEr3Tc
_cell_length_a 5.3728
_cell_length_b 5.3728
_cell_length_c 5.3728
_cell_angle_alpha 90.00
_cell_angle_beta 90.00
_cell_angle_gamma 90.00
_symmetry_space_group_name_H-M 'P m -3 m'
_symmetry_Int_Tables_number 221
_symmetry_space_group_name_Hall '-P 4 2 3'
loop_
_atom_site_label
_atom_site_type_symbol
_atom_site_fract_x
_atom_site_fract_y
_atom_site_fract_z
_atom_site_occupancy
Pr1 Pr 0.0000 0.0000 0.0000 1
Er1 Er 0.0000 0.5000 0.5000 1
Tc1 Tc 0.5000 0.5000 0.5000 1
# Volume in Å³/cell: 155.1
# Theoretical density in Mg/m³: 7.93
# Total magnetization in Bohr magnetons per cell: 0.008

---

<ii>
# PrEr3Tc | the Alexandria database | PBE | optimized geometry
data_PrEr3Tc
_cell_length_a 8.6077
_cell_length_b 3.7782
_cell_length_c 8.7640
_cell_angle_alpha 90.00
_cell_angle_beta 101.94
_cell_angle_gamma 90.00
_symmetry_space_group_name_H-M 'P 1 21/m 1'
_symmetry_Int_Tables_number 11
loop_
_symmetry_equiv_pos_as_xyz
'x,y,z'
'-x,-y,-z'
'-x,y+1/2,-z'
'x,-y+1/2,z'
loop_
_atom_site_label
_atom_site_type_symbol
_atom_site_fract_x
_atom_site_fract_y
_atom_site_fract_z
_atom_site_occupancy
Pr1 Pr 0.1707 0.2500 0.0131 1
Er1 Er 0.0262 0.7500 0.6617 1
Er2 Er 0.3439 0.7500 0.3907 1
Er3 Er 0.4221 0.7500 0.8149 1
Tc1 Tc 0.2635 0.2500 0.5977 1
# Volume in Å³/cell: 278.9
# Theoretical density in Mg/m³: 8.82
# Total magnetization in Bohr magnetons per cell: 0.000

---

On energetic grounds, <ii> is preferred over the next structure by 0.174 eV/atom.

---

<i>
# PrEr2Te | the Alexandria database | PBE | optimized geometry
data_PrEr2Te
_cell_length_a 3.8432
_cell_length_b 3.8432
_cell_length_c 8.0996
_cell_angle_alpha 90.00
_cell_angle_beta 90.00
_cell_angle_gamma 90.00
_symmetry_space_group_name_H-M 'P 4/m m m'
_symmetry_Int_Tables_number 123
_symmetry_space_group_name_Hall '-P 4 2'
loop_
_atom_site_label
_atom_site_type_symbol
_atom_site_fract_x
_atom_site_fract_y
_atom_site_fract_z
_atom_site_occupancy
Pr1 Pr 0.0000 0.0000 0.0000 1
Er1 Er 0.5000 0.5000 0.2823 1
Te1 Te 0.0000 0.0000 0.5000 1
# Volume in Å³/cell: 119.6
# Theoretical density in Mg/m³: 8.37
# Total magnetization in Bohr magnetons per cell: 0.000

---

<ii>
# PrEr2Te | the Alexandria database | PBE | optimized geometry
data_PrEr2Te
_cell_length_a 3.8787
_cell_length_b 3.8787
_cell_length_c 29.8195
_cell_angle_alpha 90.00
_cell_angle_beta 90.00
_cell_angle_gamma 120.00
_symmetry_space_group_name_H-M 'R 3 m'
_symmetry_Int_Tables_number 160
_symmetry_space_group_name_Hall 'R 3 -2"'
loop_
_atom_site_label
_atom_site_type_symbol
_atom_site_fract_x
_atom_site_fract_y
_atom_site_fract_z
_atom_site_occupancy
Pr1 Pr 0.0000 0.0000 0.0000 1
Er1 Er 0.0000 0.0000 0.2367 1
Er2 Er 0.0000 0.0000 0.4295 1
Te1 Te 0.0000 0.0000 0.8332 1
# Volume in Å³/cell: 388.6
# Theoretical density in Mg/m³: 7.73
# Total magnetization in Bohr magnetons per cell: 0.002

---

<iii>
# PrEr2Te | the Alexandria database | PBE | optimized geometry
data_PrEr2Te
_cell_length_a 3.9815
_cell_length_b 12.2429
_cell_length_c 9.8626
_cell_angle_alpha 90.00
_cell_angle_beta 90.00
_cell_angle_gamma 90.00
_symmetry_space_group_name_H-M 'C m c m'
_symmetry_Int_Tables_number 63
_symmetry_space_group_name_Hall '-C 2c 2'
loop_
_atom_site_label
_atom_site_type_symbol
_atom_site_fract_x
_atom_site_fract_y
_atom_site_fract_z
_atom_site_occupancy
Pr1 Pr 0.0000 0.0534 0.2500 1
Er1 Er 0.0000 0.3633 0.0340 1
Te1 Te 0.0000 0.2308 0.7500 1
# Volume in Å³/cell: 480.7
# Theoretical density in Mg/m³: 8.33
# Total magnetization in Bohr magnetons per cell: 0.017

---

<iv>
# PrEr2Te | the Alexandria database | PBE | optimized geometry
data_PrEr2Te
_cell_length_a 3.7938
_cell_length_b 3.7938
_cell_length_c 32.7290
_cell_angle_alpha 90.00
_cell_angle_beta 90.00
_cell_angle_gamma 120.00
_symmetry_space_group_name_H-M 'R -3 m'
_symmetry_Int_Tables_number 166
_symmetry_space_group_name_Hall '-R 3 2"'
loop_
_atom_site_label
_atom_site_type_symbol
_atom_site_fract_x
_atom_site_fract_y
_atom_site_fract_z
_atom_site_occupancy
Pr1 Pr 0.0000 0.0000 0.0000 1
Er1 Er 0.0000 0.0000 0.1039 1
Te1 Te 0.0000 0.0000 0.5000 1
# Volume in Å³/cell: 408.0
# Theoretical density in Mg/m³: 7.36
# Total magnetization in Bohr magnetons per cell: 1.502

---

On energetic grounds, <iii> is preferred over the next structure by 0.116 eV/atom.

---

<i>
# Pr2ErTe4 | the Alexandria database | PBE | optimized geometry
data_Pr2ErTe4
_cell_length_a 4.2843
_cell_length_b 14.8810
_cell_length_c 15.3305
_cell_angle_alpha 90.00
_cell_angle_beta 90.00
_cell_angle_gamma 90.00
_symmetry_space_group_name_H-M 'C m c m'
_symmetry_Int_Tables_number 63
_symmetry_space_group_name_Hall '-C 2c 2'
loop_
_atom_site_label
_atom_site_type_symbol
_atom_site_fract_x
_atom_site_fract_y
_atom_site_fract_z
_atom_site_occupancy
Pr1 Pr 0.0000 0.1318 0.0717 1
Er1 Er 0.0000 0.3713 0.2500 1
Te1 Te 0.0000 0.0206 0.2500 1
Te2 Te 0.0000 0.2161 0.6265 1
Te3 Te 0.0000 0.5000 0.0000 1
# Volume in Å³/cell: 977.4
# Theoretical density in Mg/m³: 6.52
# Total magnetization in Bohr magnetons per cell: 0.000

---

<ii>
# Pr2ErTe4 | the Alexandria database | PBE | optimized geometry
data_Pr2ErTe4
_cell_length_a 8.8767
_cell_length_b 8.9092
_cell_length_c 12.3631
_cell_angle_alpha 90.00
_cell_angle_beta 90.00
_cell_angle_gamma 90.00
_symmetry_space_group_name_H-M 'I m m a'
_symmetry_Int_Tables_number 74
_symmetry_space_group_name_Hall '-I 2b 2'
loop_
_atom_site_label
_atom_site_type_symbol
_atom_site_fract_x
_atom_site_fract_y
_atom_site_fract_z
_atom_site_occupancy
Pr1 Pr 0.0000 0.0000 0.0000 1
Pr2 Pr 0.2500 0.2500 0.2500 1
Er1 Er 0.2500 0.2500 0.7500 1
Te1 Te 0.0000 0.0102 0.7384 1
Te2 Te 0.2414 0.2500 0.5053 1
# Volume in Å³/cell: 977.7
# Theoretical density in Mg/m³: 6.52
# Total magnetization in Bohr magnetons per cell: 0.000

---

On energetic grounds, <ii> is preferred over the next structure by 0.074 eV/atom.

---

<i>
# PrErTe | the Alexandria database | PBE | optimized geometry
data_PrErTe
_cell_length_a 17.2008
_cell_length_b 3.9641
_cell_length_c 11.2398
_cell_angle_alpha 90.00
_cell_angle_beta 91.20
_cell_angle_gamma 90.00
_symmetry_space_group_name_H-M 'C 1 2/m 1'
_symmetry_Int_Tables_number 12
loop_
_symmetry_equiv_pos_as_xyz
'x,y,z'
'-x,-y,-z'
'-x,y,-z'
'x,-y,z'
'x+1/2,y+1/2,z'
'-x+1/2,-y+1/2,-z'
'-x+1/2,y+1/2,-z'
'x+1/2,-y+1/2,z'
loop_
_atom_site_label
_atom_site_type_symbol
_atom_site_fract_x
_atom_site_fract_y
_atom_site_fract_z
_atom_site_occupancy
Pr1 Pr 0.0324 0.0000 0.3490 1
Pr2 Pr 0.1156 0.5000 0.8488 1
Er1 Er 0.1970 0.0000 0.0959 1
Er2 Er 0.2451 0.0000 0.6444 1
Te1 Te 0.0687 0.5000 0.1384 1
Te2 Te 0.1118 0.5000 0.5496 1
# Volume in Å³/cell: 766.2
# Theoretical density in Mg/m³: 7.56
# Total magnetization in Bohr magnetons per cell: 0.000

---

<ii>
# PrErTe | the Alexandria database | PBE | optimized geometry
data_PrErTe
_cell_length_a 5.2148
_cell_length_b 5.2148
_cell_length_c 4.0390
_cell_angle_alpha 90.00
_cell_angle_beta 90.00
_cell_angle_gamma 120.00
_symmetry_space_group_name_H-M 'P 3 m 1'
_symmetry_Int_Tables_number 156
loop_
_symmetry_equiv_pos_as_xyz
'x,y,z'
'-y,x-y,z'
'-x+y,-x,z'
'-y,-x,z'
'-x+y,y,z'
'x,x-y,z'
loop_
_atom_site_label
_atom_site_type_symbol
_atom_site_fract_x
_atom_site_fract_y
_atom_site_fract_z
_atom_site_occupancy
Pr1 Pr 0.0000 0.0000 0.0000 1
Er1 Er 0.3333 0.6667 0.4948 1
Te1 Te 0.6667 0.3333 0.3773 1
# Volume in Å³/cell: 95.1
# Theoretical density in Mg/m³: 7.61
# Total magnetization in Bohr magnetons per cell: 0.000

---

On energetic grounds, <i> is preferred over the next structure by 0.255 eV/atom.